HoHf5N6 | GGA-PBE | relaxed

Computed properties:
The calculation puts the raw total energy at -10.45 eV per atom. As for the crystal system: monoclinic. Its calculated volume is 12.046 Å³/atom. The calculation puts the density at 13.11 Mg/m³. As for the space group: C2/m. The calculation puts the density of states at the Fermi level at 4.4 states/eV/cell. Its magnetic moment is 0.00 μB per formula unit.

abc: 5.611 5.611 5.619
angles: 99.50 99.50 120.06
Element x y z (fractional)
N: 0.572 0.914 0.741
Hf: 0.667 0.333 0.000
N: 0.428 0.086 0.259
N: 0.258 0.258 0.746
Hf: 0.500 0.500 0.500
Hf: 0.166 0.834 0.500
Hf: 0.333 0.667 0.000
N: 0.742 0.742 0.254
Hf: 0.834 0.166 0.500
Ho: 0.000 0.000 0.000
N: 0.086 0.428 0.259
N: 0.914 0.572 0.741



Cs2ZrNi2S4 | GGA-PBE | relaxed

Computed properties:
The calculation puts the raw total energy at -5.28 eV per atom. As for the crystal system: monoclinic. Its calculated volume is 22.907 Å³/atom. The calculation puts the density at 4.85 Mg/m³. As for the space group: C2/m. The calculation puts the density of states at the Fermi level at 6.7 states/eV/cell. Its magnetic moment is 0.92 μB per formula unit.

abc: 3.785 8.144 7.228
angles: 105.91 105.18 90.00
Site moments in Bohr magnetons follow the coordinates.
Element x y z (fractional)
Cs: 0.139 0.561 0.278  0.00
S: 0.523 0.792 0.046  0.02
S: 0.806 0.853 0.611  0.05
S: 0.194 0.147 0.389  0.05
S: 0.477 0.208 0.954  0.02
Cs: 0.861 0.439 0.722  0.00
Ni: 0.681 0.991 0.362  0.38
Ni: 0.319 0.009 0.638  0.38
Zr: 0.000 0.000 0.000  -0.04



LiB2C2 | GGA-PBE | relaxed

Computed properties:
The calculation puts the raw total energy at -6.81 eV per atom. As for the crystal system: triclinic. As for the formation energy: -64.7 meV/atom. Its calculated volume is 8.653 Å³/atom. The calculation puts the density at 2.02 Mg/m³. As for the space group: P-1. The calculation puts the density of states at the Fermi level at 3.7 states/eV/cell. Its magnetic moment is 0.00 μB per formula unit.

abc: 14.220 14.071 13.809
angles: 168.90 161.02 21.88
Element x y z (fractional)
Li: 0.790 0.753 0.786
Li: 0.250 0.250 0.000
Li: 0.750 0.750 0.000
B: 0.538 0.752 0.389
C: 0.800 0.247 0.935
Li: 0.710 0.747 0.214
B: 0.383 0.751 0.767
C: 0.449 0.753 0.577
C: 0.950 0.253 0.571
C: 0.052 0.747 0.423
B: 0.473 0.251 0.641
C: 0.218 0.755 0.032
B: 0.890 0.250 0.767
C: 0.699 0.253 0.065
B: 0.611 0.250 0.233
B: 0.117 0.749 0.234
B: 0.026 0.249 0.359
B: 0.961 0.748 0.610
C: 0.551 0.247 0.430
C: 0.281 0.745 0.968



Ba3Sm2DySe6 | GGA-PBE | relaxed

Computed properties:
The calculation puts the raw total energy at -5.29 eV per atom. As for the crystal system: monoclinic. Its calculated volume is 30.095 Å³/atom. The calculation puts the density at 6.20 Mg/m³. As for the space group: C2/m. The calculation puts the density of states at the Fermi level at 4.7 states/eV/cell. Its magnetic moment is 0.00 μB per formula unit.

abc: 7.506 7.506 7.810
angles: 99.25 99.25 119.94
Element x y z (fractional)
Se: 0.400 0.072 0.216
Ba: 0.831 0.169 0.500
Sm: 0.666 0.334 0.000
Ba: 0.169 0.831 0.500
Sm: 0.334 0.666 0.000
Dy: 0.000 0.000 0.000
Ba: 0.500 0.500 0.500
Se: 0.928 0.600 0.784
Se: 0.600 0.928 0.784
Se: 0.255 0.255 0.783
Se: 0.072 0.400 0.216
Se: 0.745 0.745 0.217



SO | GGA-PBE | relaxed

Computed properties:
The calculation puts the raw total energy at -5.10 eV per atom. As for the crystal system: monoclinic. Its calculated volume is 17.698 Å³/atom. The calculation puts the density at 2.25 Mg/m³. As for the space group: Cm. The calculation puts the density of states at the Fermi level at 0.0 states/eV/cell. Its magnetic moment is 0.00 μB per formula unit.

abc: 5.424 3.355 8.150
angles: 90.00 107.32 90.00
Element x y z (fractional)
S: 0.854 0.000 0.947
S: 0.529 0.000 0.362
S: 0.529 0.500 0.862
O: 0.935 0.000 0.788
O: 0.935 0.500 0.288
O: 0.502 0.000 0.175
O: 0.502 0.500 0.675
S: 0.854 0.500 0.447



LaTm2Ga | GGA-PBE | relaxed

Computed properties:
The calculation puts the raw total energy at -4.25 eV per atom. As for the crystal system: trigonal. As for the formation energy: -26.0 meV/atom. Its calculated volume is 28.678 Å³/atom. The calculation puts the density at 7.91 Mg/m³. As for the space group: R-3m. The calculation puts the density of states at the Fermi level at 5.0 states/eV/cell. Its magnetic moment is 0.00 μB per formula unit.

abc: 4.946 4.946 6.121
angles: 66.17 66.17 60.00
Element x y z (fractional)
La: 0.500 0.500 0.500
Ga: 0.000 0.000 0.000
Tm: 0.277 0.277 0.169
Tm: 0.723 0.723 0.831



Li4CuSe3 | GGA-PBE | relaxed

Computed properties:
The calculation puts the raw total energy at -3.65 eV per atom. As for the crystal system: monoclinic. Its calculated volume is 19.679 Å³/atom. The calculation puts the density at 3.46 Mg/m³. As for the space group: Cc. The calculation puts the density of states at the Fermi level at 3.4 states/eV/cell. Its magnetic moment is 0.00 μB per formula unit.

abc: 6.653 6.943 8.628
angles: 112.49 90.00 118.63
Element x y z (fractional)
Cu: 0.285 0.938 0.247
Li: 0.761 0.760 0.061
Se: 0.280 0.617 0.578
Li: 0.511 0.635 0.348
Li: 0.413 0.326 0.568
Li: 0.841 0.245 0.492
Li: 0.913 0.326 0.068
Cu: 0.653 0.938 0.747
Li: 0.124 0.635 0.848
Li: 0.999 0.760 0.561
Se: 0.628 0.311 0.282
Se: 0.967 0.947 0.874
Se: 0.980 0.947 0.374
Se: 0.683 0.311 0.782
Se: 0.337 0.617 0.078
Li: 0.404 0.245 0.992



HoUS3 | GGA-PBE | relaxed

Computed properties:
The calculation puts the raw total energy at -7.39 eV per atom. As for the crystal system: orthorhombic. Its calculated volume is 21.144 Å³/atom. The calculation puts the density at 7.84 Mg/m³. As for the space group: Pnma. The calculation puts the density of states at the Fermi level at 25.1 states/eV/cell. Its magnetic moment is 2.74 μB per formula unit.

abc: 3.882 7.287 14.950
angles: 90.00 90.00 90.00
Site moments in Bohr magnetons follow the coordinates.
Element x y z (fractional)
S: 0.750 0.125 0.069  -0.03
S: 0.250 0.509 0.108  -0.02
S: 0.750 0.625 0.431  -0.03
U: 0.250 0.633 0.291  2.44
Ho: 0.250 0.761 0.543  0.07
S: 0.250 0.375 0.569  -0.03
S: 0.750 0.491 0.892  -0.02
S: 0.250 0.009 0.392  -0.02
U: 0.750 0.367 0.709  2.44
S: 0.750 0.991 0.608  -0.02
U: 0.250 0.133 0.209  2.44
S: 0.750 0.353 0.279  -0.07
S: 0.250 0.647 0.721  -0.07
S: 0.750 0.853 0.221  -0.07
S: 0.250 0.147 0.779  -0.07
Ho: 0.750 0.239 0.457  0.07
S: 0.250 0.875 0.931  -0.03
Ho: 0.750 0.739 0.043  0.07
Ho: 0.250 0.261 0.957  0.07
U: 0.750 0.867 0.791  2.44



Tl5HgTe2 | GGA-PBE | relaxed

Computed properties:
The calculation puts the raw total energy at -2.50 eV per atom. As for the crystal system: orthorhombic. Its calculated volume is 32.245 Å³/atom. The calculation puts the density at 9.51 Mg/m³. As for the space group: Pbam. The calculation puts the density of states at the Fermi level at 3.5 states/eV/cell. Its magnetic moment is 0.00 μB per formula unit.

abc: 5.164 7.133 14.007
angles: 90.00 90.00 90.00
Element x y z (fractional)
Hg: 0.000 0.000 0.500
Tl: 0.000 0.060 0.259
Tl: 0.500 0.208 0.615
Tl: 0.000 0.440 0.759
Te: 0.500 0.214 0.868
Te: 0.500 0.714 0.632
Tl: 0.500 0.792 0.385
Tl: 0.000 0.940 0.741
Tl: 0.500 0.708 0.885
Tl: 0.000 0.500 0.500
Tl: 0.000 0.560 0.241
Hg: 0.000 0.500 0.000
Te: 0.500 0.286 0.368
Tl: 0.000 0.000 0.000
Te: 0.500 0.786 0.132
Tl: 0.500 0.292 0.115